Sr7Li2Ca2 after structural relaxation, computed with GGA-PBE.

a b c (Å): 10.0853 7.3140 7.3140
angles (deg): 99.04 99.90 99.90
Closest atoms and distances in Å follow each position.
Fractional coordinates of all 11 atoms:
Sr 0.1838 0.8910 0.5198  3 Li 3.66-4.05, 1 Ca 3.95
Sr 0.8162 0.4802 0.1090  3 Li 3.66-4.05, 1 Ca 3.95
Sr 0.8162 0.1090 0.4802  3 Li 3.66-4.05, 1 Ca 3.95
Sr 0.1838 0.5198 0.8910  3 Li 3.66-4.05, 1 Ca 3.95
Sr 0.0000 0.0000 0.0000  2 Li 3.61, 2 Sr 3.93
Sr 0.5974 0.8565 0.8565  1 Li 3.65, 2 Sr 3.76-3.93, 4 Ca 3.82-4.05
Sr 0.4026 0.1435 0.1435  1 Li 3.65, 2 Sr 3.76-3.93, 4 Ca 3.82-4.05
Li 0.8253 0.6149 0.6149  6 Sr 3.61-3.90, 2 Ca 3.74
Li 0.1747 0.3851 0.3851  6 Sr 3.61-3.90, 2 Ca 3.74
Ca 0.5000 0.3225 0.6775  2 Li 3.74, 8 Sr 3.82-4.16, 1 Ca 3.95
Ca 0.5000 0.6775 0.3225  2 Li 3.74, 8 Sr 3.82-4.16, 1 Ca 3.95

Its energy is -19.15 eV per cell. Its energy of formation from the pure elements is 0.041 eV per atom.